No. 1
Below is an optimized crystal structure of K3DyAs2S8, with properties calculated at the PBEsol level.

a b c (Å): 8.8552 9.9750 10.6626
angles (deg): 107.25 102.85 114.36
Closest atoms and distances in Å follow each position.
Sites, in units of the cell vectors:
S (0.3610, 0.7359, 0.9783)  1 As 2.14
S (0.1173, 0.2423, 0.9783)  1 As 2.14
Dy (0.0071, 0.7571, 0.5142)  8 S 2.74-3.01
K (0.2551, 0.0051, 0.0103)  6 S 3.14-3.47
As (0.0041, 0.9060, 0.2481)  4 S 2.14-2.19
S (0.3435, 0.8738, 0.7103)  1 As 2.19
Dy (0.9929, 0.2429, 0.4858)  8 S 2.74-3.01
K (0.5082, 0.2582, 0.5164)  8 S 3.20-3.41
S (0.6390, 0.2641, 0.0217)  1 As 2.14
S (0.7984, 0.1431, 0.6438)  1 As 2.18
S (0.1878, 0.1232, 0.6491)  1 As 2.19
K (0.4918, 0.7418, 0.4836)  8 S 3.20-3.41
As (0.9959, 0.0940, 0.7519)  4 S 2.14-2.19
S (0.1332, 0.1635, 0.2897)  1 As 2.19
S (0.8668, 0.8365, 0.7103)  1 As 2.19
S (0.0387, 0.4741, 0.3509)  1 As 2.19
S (0.9613, 0.5259, 0.6491)  1 As 2.19
S (0.3454, 0.5008, 0.6438)  1 As 2.18
S (0.8122, 0.8768, 0.3509)  1 As 2.19
K (0.0000, 0.5000, 0.0000)  4 S 3.11-3.20
K (0.5000, 0.5000, 0.0000)  4 S 3.11-3.20
S (0.6546, 0.4992, 0.3562)  1 As 2.18
As (0.7441, 0.3421, 0.2481)  4 S 2.14-2.19
S (0.2016, 0.8569, 0.3562)  1 As 2.18
K (0.7449, 0.9949, 0.9897)  6 S 3.14-3.47
As (0.2559, 0.6579, 0.7519)  4 S 2.14-2.19
S (0.8827, 0.7577, 0.0217)  1 As 2.14
S (0.6565, 0.1262, 0.2897)  1 As 2.19

Computed properties:
- Density of states at the Fermi level: 0.0 states/eV/cell
- Total magnetic moment: 0.00 μB per atom
- Formation energy (no corrections): -910 meV per atom


No. 2
Below is an optimized crystal structure of IrW, with properties calculated at the PBEsol level.

a b c (Å): 4.3962 4.3962 4.3962
angles (deg): 60.00 60.00 60.00
Closest atoms and distances in Å follow each position.
Sites, in units of the cell vectors:
Ir (0.2500, 0.2500, 0.2500)  4 W 2.69, 4 Ir 2.69
Ir (0.0000, 0.0000, 0.0000)  4 W 2.69, 4 Ir 2.69
W (0.5000, 0.5000, 0.5000)  4 W 2.69, 4 Ir 2.69
W (0.7500, 0.7500, 0.7500)  4 Ir 2.69, 4 W 2.69

Computed properties:
- Excess energy over the best structure of this formula in the dataset: 0.505 eV per atom
- Formation enthalpy at 0 K: 0.19 eV/atom
- Density of states at the Fermi level: 3.6 states/eV/cell
- Total magnetic moment: 0.00 μB per atom


No. 3
Below is an optimized crystal structure of Li2CaZr, with properties calculated at the PBEsol level.

a b c (Å): 3.3229 5.3254 5.4743
angles (deg): 90.00 90.00 90.00
Closest atoms and distances in Å follow each position.
Sites, in units of the cell vectors:
Zr (0.5000, 0.5000, 0.0000)  4 Li 3.14, 4 Ca 3.20, 2 Zr 3.32
Li (0.0000, 0.0000, 0.0000)  4 Zr 3.14, 6 Li 3.20-3.32
Ca (0.0000, 0.5000, 0.5000)  4 Li 3.14, 4 Zr 3.20, 2 Ca 3.32
Li (0.5000, 0.0000, 0.5000)  4 Ca 3.14, 6 Li 3.20-3.32

Computed properties:
- Excess energy over the best structure of this formula in the dataset: 0.107 eV per atom
- Formation enthalpy at 0 K: 0.45 eV/atom
- Density of states at the Fermi level: 4.0 states/eV/cell
- Total magnetic moment: 0.03 μB per atom


No. 4
Below is an optimized crystal structure of LiMg4H13Os2, with properties calculated at the PBEsol level.

a b c (Å): 4.6713 4.6713 18.3354
angles (deg): 90.00 90.00 120.00
Closest atoms and distances in Å follow each position.
Sites, in units of the cell vectors:
Mg (0.3333, 0.6667, 0.9474)  12 H 2.34-2.39
Mg (0.6667, 0.3333, 0.0526)  12 H 2.34-2.39
H (0.5006, 0.4994, 0.3395)  1 Os 1.70
Os (0.6667, 0.3333, 0.6043)  6 H 1.69-1.70
H (0.8366, 0.6732, 0.9495)  1 Os 1.69
H (0.8366, 0.1634, 0.9495)  1 Os 1.69
Mg (0.0000, 0.0000, 0.8512)  1 H 1.85
H (0.5006, 0.0012, 0.1605)  1 Os 1.70
H (0.9988, 0.4994, 0.3395)  1 Os 1.70
Os (0.3333, 0.6667, 0.3957)  6 H 1.69-1.70
H (0.9988, 0.4994, 0.1605)  1 Os 1.70
Li (0.3333, 0.6667, 0.2500)  6 H 2.13
Mg (0.0000, 0.0000, 0.3512)  1 H 1.85
H (0.1634, 0.8366, 0.0505)  1 Os 1.69
H (0.8366, 0.1634, 0.5505)  1 Os 1.69
H (0.0000, 0.0000, 0.2500)  2 Mg 1.85
Li (0.6667, 0.3333, 0.7500)  6 H 2.13
H (0.3268, 0.1634, 0.5505)  1 Os 1.69
H (0.4994, 0.5006, 0.8395)  1 Os 1.70
H (0.0012, 0.5006, 0.8395)  1 Os 1.70
H (0.4994, 0.5006, 0.6605)  1 Os 1.70
Mg (0.0000, 0.0000, 0.1488)  1 H 1.85
H (0.6732, 0.8366, 0.0505)  1 Os 1.69
Os (0.3333, 0.6667, 0.1043)  6 H 1.69-1.70
Mg (0.6667, 0.3333, 0.4474)  12 H 2.34-2.39
H (0.4994, 0.9988, 0.6605)  1 Os 1.70
H (0.5006, 0.4994, 0.1605)  1 Os 1.70
Os (0.6667, 0.3333, 0.8957)  6 H 1.69-1.70
H (0.1634, 0.8366, 0.4495)  1 Os 1.69
H (0.3268, 0.1634, 0.9495)  1 Os 1.69
H (0.8366, 0.6732, 0.5505)  1 Os 1.69
H (0.6732, 0.8366, 0.4495)  1 Os 1.69
H (0.1634, 0.3268, 0.0505)  1 Os 1.69
H (0.1634, 0.3268, 0.4495)  1 Os 1.69
Mg (0.0000, 0.0000, 0.6488)  1 H 1.85
H (0.5006, 0.0012, 0.3395)  1 Os 1.70
H (0.4994, 0.9988, 0.8395)  1 Os 1.70
Mg (0.3333, 0.6667, 0.5526)  12 H 2.34-2.39
H (0.0000, 0.0000, 0.7500)  2 Mg 1.85
H (0.0012, 0.5006, 0.6605)  1 Os 1.70

Computed properties:
- E: -4.176 eV per atom
- Density of states at the Fermi level: 0.0 states/eV/cell
- Total magnetic moment: 0.00 μB per atom


No. 5
Below is an optimized crystal structure of Ca2BiAs2, with properties calculated at the PBEsol level.

a b c (Å): 3.3219 8.6027 8.6027
angles (deg): 90.00 90.00 90.00
Closest atoms and distances in Å follow each position.
Sites, in units of the cell vectors:
Bi (0.0000, 0.0000, 0.0000)  2 Bi 3.32, 4 Ca 3.34, 8 As 3.61
As (0.5000, 0.1676, 0.6676)  6 Ca 2.91-3.11
Ca (0.0000, 0.1357, 0.3643)  6 As 2.91-3.11
Bi (0.0000, 0.5000, 0.5000)  2 Bi 3.32, 4 Ca 3.34, 8 As 3.61
As (0.5000, 0.3324, 0.1676)  6 Ca 2.91-3.11
As (0.5000, 0.8324, 0.3324)  6 Ca 2.91-3.11
Ca (0.0000, 0.8643, 0.6357)  6 As 2.91-3.11
Ca (0.0000, 0.3643, 0.8643)  6 As 2.91-3.11
Ca (0.0000, 0.6357, 0.1357)  6 As 2.91-3.11
As (0.5000, 0.6676, 0.8324)  6 Ca 2.91-3.11

Computed properties:
- Excess energy over the best structure of this formula in the dataset: 0.280 eV per atom
- Formation enthalpy at 0 K: -0.55 eV/atom
- Density of states at the Fermi level: 6.3 states/eV/cell
- Total magnetic moment: 0.00 μB per atom


No. 6
Below is an optimized crystal structure of FeNi2Br, with properties calculated at the PBEsol level.

a b c (Å): 3.0611 3.0611 5.7705
angles (deg): 90.00 90.00 90.00
Closest atoms and distances in Å follow each position.
Sites, in units of the cell vectors:
Ni (0.0000, 0.0000, 0.9964)  4 Fe 2.44, 4 Ni 2.50
Br (0.0000, 0.0000, 0.4889)  6 Ni 2.69-2.93, 4 Fe 2.82
Fe (0.5000, 0.5000, 0.8021)  5 Ni 2.37-2.44
Ni (0.5000, 0.5000, 0.2126)  1 Fe 2.37, 4 Ni 2.50

Computed properties:
- Excess energy over the best structure of this formula in the dataset: 0.117 eV per atom
- Density of states at the Fermi level: 4.1 states/eV/cell
- Total magnetic moment: 1.09 μB per atom
- Formation energy (no corrections): 423 meV per atom


Question: Number 5 is which compound?
Answer: Ca2BiAs2